Entry from the Open Quantum Materials Database: a relaxed In4Co crystal (PBE).

```
10
Lattice="6.255 0.000 0.000 0.000 6.255 0.000 0.000 0.000 5.932" Properties=species:S:1:pos:R:3 pbc="T T T"
In 0.258 3.385 1.468
In 0.258 5.998 4.464
In 2.870 3.385 4.464
In 2.870 5.998 1.468
In 3.385 0.258 4.464
In 3.385 2.870 1.468
In 5.998 0.258 1.468
In 5.998 2.870 4.464
Co 1.564 1.564 2.966
Co 4.691 4.691 2.966
```

Relative energy among the computed polymorphs   0.0165 eV/atom